A relaxed AcFeIrO6 crystal, computed with GGA+U.

Output
Calculated density   7.6 Mg/m³
Calculated volume   13.8 A^3/atom
Magnetization   3.79 μB/f.u.
Total DFT energy (no corrections)   -6.8763 eV/atom

Lattice parameters (Å, degrees): 5.1791 5.1791 5.3623 90.00 90.00 120.00
With the nearest neighbours (Å) after each atom.
Space group P312 (No. 149)
Inequivalent atoms, fractional coordinates:
Ac: 0.0000 0.0000 0.0000 x1  6 O 2.51
Fe: 0.3333 0.6667 0.5000 x1  6 O 1.95
Ir: 0.6667 0.3333 0.5000 x1  6 O 1.96
O: 0.0011 0.3731 0.6999 x6  1 Fe 1.95, 1 Ir 1.96